--- w ---
# Cs3As2Se4 PBE relaxed
data_Cs3As2Se4
_cell_length_a 14.350
_cell_length_b 13.400
_cell_length_c 7.677
_cell_angle_alpha 90.00
_cell_angle_beta 92.82
_cell_angle_gamma 90.00
_space_group_name_H-M_alt 'C 1 2/c 1'
_space_group_IT_number 15
loop_
_space_group_symop_operation_xyz
'x,y,z'
'-x,-y,-z'
'-x,y,-z+1/2'
'x,-y,z+1/2'
'x+1/2,y+1/2,z'
'-x+1/2,-y+1/2,-z'
'-x+1/2,y+1/2,-z+1/2'
'x+1/2,-y+1/2,z+1/2'
loop_
_atom_site_label
_atom_site_fract_x
_atom_site_fract_y
_atom_site_fract_z
Cs1 0.000 0.108 0.250
Cs2 0.129 0.373 0.572
As1 0.200 0.122 0.923
Se1 0.139 0.335 0.058
Se2 0.156 0.100 0.627
# volume: 1474.5 Å³ per cell

--- x ---
# Cs3As2Se4 PBE relaxed
data_Cs3As2Se4
_cell_length_a 16.710
_cell_length_b 10.502
_cell_length_c 8.712
_cell_angle_alpha 90.00
_cell_angle_beta 90.55
_cell_angle_gamma 90.00
_space_group_name_H-M_alt 'C 1 2/c 1'
_space_group_IT_number 15
loop_
_space_group_symop_operation_xyz
'x,y,z'
'-x,-y,-z'
'-x,y,-z+1/2'
'x,-y,z+1/2'
'x+1/2,y+1/2,z'
'-x+1/2,-y+1/2,-z'
'-x+1/2,y+1/2,-z+1/2'
'x+1/2,-y+1/2,z+1/2'
loop_
_atom_site_label
_atom_site_fract_x
_atom_site_fract_y
_atom_site_fract_z
Cs1 0.000 0.013 0.250
Cs2 0.131 0.387 0.905
As1 0.195 0.160 0.516
Se1 0.072 0.274 0.509
Se2 0.215 0.088 0.771
# volume: 1528.7 Å³ per cell

Which one sits at the bottom of the stability order? w does.

--- w ---
# CsSrAsSe2 PBE relaxed
data_CsSrAsSe2
_cell_length_a 5.861
_cell_length_b 5.861
_cell_length_c 5.700
_cell_angle_alpha 90.00
_cell_angle_beta 90.00
_cell_angle_gamma 90.00
_space_group_name_H-M_alt 'P 4/m m m'
_space_group_IT_number 123
_space_group_name_Hall '-P 4 2'
loop_
_atom_site_label
_atom_site_fract_x
_atom_site_fract_y
_atom_site_fract_z
Cs1 0.000 0.000 0.000
Sr1 0.500 0.500 0.500
As1 0.000 0.000 0.500
Se1 0.000 0.500 0.000
# volume: 195.8 Å³ per cell

--- x ---
# CsSrAsSe2 PBE relaxed
data_CsSrAsSe2
_cell_length_a 5.960
_cell_length_b 5.960
_cell_length_c 6.079
_cell_angle_alpha 90.00
_cell_angle_beta 90.00
_cell_angle_gamma 90.00
_space_group_name_H-M_alt 'P 4/m m m'
_space_group_IT_number 123
_space_group_name_Hall '-P 4 2'
loop_
_atom_site_label
_atom_site_fract_x
_atom_site_fract_y
_atom_site_fract_z
Cs1 0.000 0.000 0.000
Sr1 0.500 0.500 0.500
As1 0.500 0.500 0.000
Se1 0.000 0.500 0.500
# volume: 216.0 Å³ per cell

Which one sits at the bottom of the stability order? w does.

--- w ---
# CsSrAs2Se PBE relaxed
data_CsSrAs2Se
_cell_length_a 5.725
_cell_length_b 5.725
_cell_length_c 5.946
_cell_angle_alpha 90.00
_cell_angle_beta 90.00
_cell_angle_gamma 90.00
_space_group_name_H-M_alt 'P 4/m m m'
_space_group_IT_number 123
_space_group_name_Hall '-P 4 2'
loop_
_atom_site_label
_atom_site_fract_x
_atom_site_fract_y
_atom_site_fract_z
Cs1 0.000 0.000 0.000
Sr1 0.500 0.500 0.500
As1 0.000 0.500 0.000
Se1 0.000 0.000 0.500
# volume: 194.9 Å³ per cell

--- x ---
# CsSrAs2Se PBE relaxed
data_CsSrAs2Se
_cell_length_a 5.849
_cell_length_b 5.849
_cell_length_c 5.880
_cell_angle_alpha 90.00
_cell_angle_beta 90.00
_cell_angle_gamma 90.00
_space_group_name_H-M_alt 'P 4/m m m'
_space_group_IT_number 123
_space_group_name_Hall '-P 4 2'
loop_
_atom_site_label
_atom_site_fract_x
_atom_site_fract_y
_atom_site_fract_z
Cs1 0.000 0.000 0.000
Sr1 0.500 0.500 0.500
As1 0.000 0.500 0.500
Se1 0.500 0.500 0.000
# volume: 201.1 Å³ per cell

Which one sits at the bottom of the stability order? w does.